Zn2Re after structural relaxation, computed with GGA-PBE.

The energy comes out at -56.8 eV for the cell shown. The value obtained for the density of states at the Fermi level is 4.62 states/eV per cell. The value obtained for the energy relative to the elements is 25.95 kJ per mole of atoms. The calculated volume comes out at 164 Å³ per cell.

The structure belongs to space group P6_3/mmc (No. 194); the cell edges are 4.9013, 4.9013 and 7.8603 Å and the angles 90.00°, 90.00° and 120.00°. The inequivalent atoms are Zn at (0.0000, 0.0000, 0.0000), Zn at (0.1716, 0.3431, 0.2500) and Re at (0.3333, 0.6667, 0.5714).

ZnRe after structural relaxation, computed with GGA-PBE.

The energy comes out at -106.7 eV for the cell shown. The value obtained for the density of states at the Fermi level is 8.16 states/eV per cell. The value obtained for the energy relative to the elements is 18.27 kJ per mole of atoms. The calculated volume comes out at 232 Å³ per cell.

The structure belongs to space group I4_122 (No. 98); the cell edges are 5.4776, 5.4776 and 7.7308 Å and the angles 90.00°, 90.00° and 90.00°. The inequivalent atoms are Zn at (0.0048, 0.7500, 0.1250) and Re at (0.0067, 0.2500, 0.6250).

ZnRe after structural relaxation, computed with GGA-PBE.

The energy comes out at -20.3 eV for the cell shown. The value obtained for the density of states at the Fermi level is 4.98 states/eV per cell. The value obtained for the energy relative to the elements is 172.57 kJ per mole of atoms. The calculated volume comes out at 78 Å³ per cell.

The structure belongs to space group P6_3/mmc (No. 194); the cell edges are 4.2651, 4.2651 and 4.9377 Å and the angles 90.00°, 90.00° and 120.00°. The inequivalent atoms are Zn at (0.3333, 0.6667, 0.2500) and Re at (0.3333, 0.6667, 0.7500).

Zn2Re after structural relaxation, computed with GGA-PBE.

The energy comes out at -48.4 eV for the cell shown. The value obtained for the density of states at the Fermi level is 6.76 states/eV per cell. The value obtained for the energy relative to the elements is 93.30 kJ per mole of atoms. The calculated volume comes out at 217 Å³ per cell.

The structure belongs to space group Fm-3m (No. 225); the cell edges are 6.0048, 6.0048 and 6.0048 Å and the angles 90.00°, 90.00° and 90.00°. The inequivalent atoms are Zn at (0.2500, 0.2500, 0.2500) and Re at (0.0000, 0.0000, 0.0000).

Zn2Re after structural relaxation, computed with GGA-PBE.

The energy comes out at -14.4 eV for the cell shown. The value obtained for the density of states at the Fermi level is 2.47 states/eV per cell. The value obtained for the energy relative to the elements is 19.52 kJ per mole of atoms. The calculated volume comes out at 44 Å³ per cell.

The structure belongs to space group P-3m1 (No. 164); the cell edges are 2.7569, 2.7569 and 6.6969 Å and the angles 90.00°, 90.00° and 120.00°. The inequivalent atoms are Zn at (0.3333, 0.6667, 0.3337) and Re at (0.0000, 0.0000, 0.0000).

ZnRe after structural relaxation, computed with GGA-PBE.

The energy comes out at -46.1 eV for the cell shown. The value obtained for the density of states at the Fermi level is 8.11 states/eV per cell. The value obtained for the energy relative to the elements is 105.45 kJ per mole of atoms. The calculated volume comes out at 130 Å³ per cell.

The structure belongs to space group P4_2/mnm (No. 136); the cell edges are 5.0507, 5.0507 and 5.0800 Å and the angles 90.00°, 90.00° and 90.00°. The inequivalent atoms are Zn at (0.1795, 0.1795, 0.0000) and Re at (0.1689, 0.1689, 0.5000).

Zn2Re after structural relaxation, computed with GGA-PBE.

The energy comes out at -26.6 eV for the cell shown. The value obtained for the density of states at the Fermi level is 4.34 states/eV per cell. The value obtained for the energy relative to the elements is 54.75 kJ per mole of atoms. The calculated volume comes out at 87 Å³ per cell.

The structure belongs to space group P6_3/mmc (No. 194); the cell edges are 4.4360, 4.4360 and 5.1075 Å and the angles 90.00°, 90.00° and 120.00°. The inequivalent atoms are Zn at (0.0000, 0.0000, 0.0000), Zn at (0.3333, 0.6667, 0.2500) and Re at (0.3333, 0.6667, 0.7500).

ZnRe4 after structural relaxation, computed with GGA-PBE.

The energy comes out at -40.5 eV for the cell shown. The value obtained for the density of states at the Fermi level is 4.43 states/eV per cell. The value obtained for the energy relative to the elements is 203.12 kJ per mole of atoms. The calculated volume comes out at 85 Å³ per cell.

The structure belongs to space group Pm-3m (No. 221); the cell edges are 4.3993, 4.3993 and 4.3993 Å and the angles 90.00°, 90.00° and 90.00°. The inequivalent atoms are Zn at (0.0000, 0.0000, 0.0000), Re at (0.0000, 0.0000, 0.5000) and Re at (0.5000, 0.5000, 0.5000).

Zn5Re24 after structural relaxation, computed with GGA-PBE.

The energy comes out at -606.4 eV for the cell shown. The value obtained for the density of states at the Fermi level is 37.60 states/eV per cell. The value obtained for the energy relative to the elements is 6.36 kJ per mole of atoms. The calculated volume comes out at 893 Å³ per cell.

The structure belongs to space group I-43m (No. 217); the cell edges are 9.6289, 9.6289 and 9.6289 Å and the angles 90.00°, 90.00° and 90.00°. The inequivalent atoms are Zn at (0.0000, 0.0000, 0.0000), Zn at (0.1669, 0.1669, 0.8331), Re at (0.0417, 0.3583, 0.3583) and Re at (0.0925, 0.0925, 0.2866).

Zn3Re after structural relaxation, computed with GGA-PBE.

The energy comes out at -31.1 eV for the cell shown. The value obtained for the density of states at the Fermi level is 3.33 states/eV per cell. The value obtained for the energy relative to the elements is 17.77 kJ per mole of atoms. The calculated volume comes out at 116 Å³ per cell.

The structure belongs to space group C2/m (No. 12); the cell edges are 9.2551, 2.7158 and 4.7286 Å and the angles 90.00°, 102.48° and 90.00°. The inequivalent atoms are Zn at (0.0000, 0.0000, 0.0000), Zn at (0.2497, 0.0000, 0.7426) and Re at (0.0000, 0.5000, 0.5000).

Zn3Re after structural relaxation, computed with GGA-PBE.

The energy comes out at -31.6 eV for the cell shown. The value obtained for the density of states at the Fermi level is 4.17 states/eV per cell. The value obtained for the energy relative to the elements is 11.90 kJ per mole of atoms. The calculated volume comes out at 116 Å³ per cell.

The structure belongs to space group Cmmm (No. 65); the cell edges are 5.3410, 8.0445 and 2.6918 Å and the angles 90.00°, 90.00° and 90.00°. The inequivalent atoms are Zn at (0.0000, 0.0000, 0.0000), Zn at (0.2500, 0.2500, 0.5000) and Re at (0.0000, 0.5000, 0.0000).

ZnRe2 after structural relaxation, computed with GGA-PBE.

The energy comes out at -101.6 eV for the cell shown. The value obtained for the density of states at the Fermi level is 10.50 states/eV per cell. The value obtained for the energy relative to the elements is 24.57 kJ per mole of atoms. The calculated volume comes out at 177 Å³ per cell.

The structure belongs to space group Cm (No. 8); the cell edges are 10.0096, 2.8910 and 6.3966 Å and the angles 90.00°, 106.54° and 90.00°. The inequivalent atoms are Zn at (0.0000, 0.0000, 0.0000), Zn at (0.1636, 0.5000, 0.3325), Re at (0.1252, 0.5000, 0.7360), Re at (0.2836, 0.0000, 0.0705), Re at (0.3356, 0.0000, 0.6654) and Re at (0.4477, 0.5000, 0.4055).

ZnRe after structural relaxation, computed with GGA-PBE.

The energy comes out at -26.5 eV for the cell shown. The value obtained for the density of states at the Fermi level is 3.23 states/eV per cell. The value obtained for the energy relative to the elements is 22.99 kJ per mole of atoms. The calculated volume comes out at 59 Å³ per cell.

The structure belongs to space group Pmmn (No. 59, origin choice 2); the cell edges are 2.7357, 4.4387 and 4.8311 Å and the angles 90.00°, 90.00° and 90.00°. The inequivalent atoms are Zn at (0.2500, 0.2500, 0.0733) and Re at (0.2500, 0.7500, 0.4188).

ZnRe2 after structural relaxation, computed with GGA-PBE.

The energy comes out at -100.4 eV for the cell shown. The value obtained for the density of states at the Fermi level is 6.46 states/eV per cell. The value obtained for the energy relative to the elements is 34.69 kJ per mole of atoms. The calculated volume comes out at 175 Å³ per cell.

The structure belongs to space group I4/mcm (No. 140); the cell edges are 6.1152, 6.1152 and 4.6812 Å and the angles 90.00°, 90.00° and 90.00°. The inequivalent atoms are Zn at (0.0000, 0.0000, 0.2500) and Re at (0.1412, 0.3588, 0.0000).

Zn3Re after structural relaxation, computed with GGA-PBE.

The energy comes out at -15.3 eV for the cell shown. The value obtained for the density of states at the Fermi level is 3.58 states/eV per cell. The value obtained for the energy relative to the elements is 23.48 kJ per mole of atoms. The calculated volume comes out at 59 Å³ per cell.

The structure belongs to space group P4/mmm (No. 123); the cell edges are 2.6885, 2.6885 and 8.1100 Å and the angles 90.00°, 90.00° and 90.00°. The inequivalent atoms are Zn at (0.0000, 0.0000, 0.0000), Zn at (0.5000, 0.5000, 0.2494) and Re at (0.0000, 0.0000, 0.5000).

ZnRe after structural relaxation, computed with GGA-PBE.

The energy comes out at -27.1 eV for the cell shown. The value obtained for the density of states at the Fermi level is 1.13 states/eV per cell. The value obtained for the energy relative to the elements is 8.48 kJ per mole of atoms. The calculated volume comes out at 60 Å³ per cell.

The structure belongs to space group P2_1/m (No. 11); the cell edges are 2.9817, 2.9810 and 6.7128 Å and the angles 90.00°, 90.10° and 90.00°. The inequivalent atoms are Zn at (0.2492, 0.2500, 0.1228) and Re at (0.2503, 0.2500, 0.6103).

ZnRe2 after structural relaxation, computed with GGA-PBE.

The energy comes out at -51.6 eV for the cell shown. The value obtained for the density of states at the Fermi level is 1.56 states/eV per cell. The value obtained for the energy relative to the elements is 11.49 kJ per mole of atoms. The calculated volume comes out at 88 Å³ per cell.

The structure belongs to space group I4/mmm (No. 139); the cell edges are 3.1081, 3.1081 and 9.0939 Å and the angles 90.00°, 90.00° and 90.00°. The inequivalent atoms are Zn at (0.0000, 0.0000, 0.0000) and Re at (0.0000, 0.0000, 0.3272).

ZnRe after structural relaxation, computed with GGA-PBE.

The energy comes out at -106.0 eV for the cell shown. The value obtained for the density of states at the Fermi level is 5.50 states/eV per cell. The value obtained for the energy relative to the elements is 22.53 kJ per mole of atoms. The calculated volume comes out at 258 Å³ per cell.

The structure belongs to space group I4/mmm (No. 139); the cell edges are 7.6856, 7.6856 and 4.3674 Å and the angles 90.00°, 90.00° and 90.00°. The inequivalent atoms are Zn at (0.0000, 0.2817, 0.0000) and Re at (0.1643, 0.1643, 0.5000).

ZnRe after structural relaxation, computed with GGA-PBE.

The energy comes out at -44.2 eV for the cell shown. The value obtained for the density of states at the Fermi level is 9.29 states/eV per cell. The value obtained for the energy relative to the elements is 128.54 kJ per mole of atoms. The calculated volume comes out at 127 Å³ per cell.

The structure belongs to space group Fm-3m (No. 225); the cell edges are 5.0252, 5.0252 and 5.0252 Å and the angles 90.00°, 90.00° and 90.00°. The inequivalent atoms are Zn at (0.0000, 0.0000, 0.0000) and Re at (0.0000, 0.0000, 0.5000).

ZnRe after structural relaxation, computed with GGA-PBE.

The energy comes out at -104.4 eV for the cell shown. The value obtained for the density of states at the Fermi level is 10.84 states/eV per cell. The value obtained for the energy relative to the elements is 32.46 kJ per mole of atoms. The calculated volume comes out at 255 Å³ per cell.

The structure belongs to space group P4/m (No. 83); the cell edges are 9.5953, 9.5953 and 2.7686 Å and the angles 90.00°, 90.00° and 90.00°. The inequivalent atoms are Zn at (0.0073, 0.8137, 0.0000), Zn at (0.1984, 0.3185, 0.5000), Re at (0.0843, 0.5912, 0.5000) and Re at (0.3224, 0.5439, 0.0000).

ZnRe5 after structural relaxation, computed with GGA-PBE.

The energy comes out at -126.0 eV for the cell shown. The value obtained for the density of states at the Fermi level is 9.58 states/eV per cell. The value obtained for the energy relative to the elements is 8.45 kJ per mole of atoms. The calculated volume comes out at 178 Å³ per cell.

The structure belongs to space group Amm2 (No. 38); the cell edges are 4.4399, 2.8004 and 14.3068 Å and the angles 90.00°, 90.00° and 90.00°. The inequivalent atoms are Zn at (0.0000, 0.0000, 0.0000), Re at (0.0000, 0.0000, 0.3295), Re at (0.0000, 0.0000, 0.6645), Re at (0.5000, 0.0000, 0.2224), Re at (0.5000, 0.0000, 0.5544) and Re at (0.5000, 0.0000, 0.8897).

Zn3Re after structural relaxation, computed with GGA-PBE.

The energy comes out at -15.8 eV for the cell shown. The value obtained for the density of states at the Fermi level is 3.11 states/eV per cell. The value obtained for the energy relative to the elements is 12.35 kJ per mole of atoms. The calculated volume comes out at 59 Å³ per cell.

The structure belongs to space group P-6m2 (No. 187); the cell edges are 2.7774, 2.7774 and 8.7589 Å and the angles 90.00°, 90.00° and 120.00°. The inequivalent atoms are Zn at (0.0000, 0.0000, 0.0000), Zn at (0.3333, 0.6667, 0.2488) and Re at (0.0000, 0.0000, 0.5000).

ZnRe after structural relaxation, computed with GGA-PBE.

The energy comes out at -81.5 eV for the cell shown. The value obtained for the density of states at the Fermi level is 6.07 states/eV per cell. The value obtained for the energy relative to the elements is 6.34 kJ per mole of atoms. The calculated volume comes out at 180 Å³ per cell.

The structure belongs to space group R-3m (No. 166, hexagonal axes); the cell edges are 2.7840, 2.7840 and 26.8219 Å and the angles 90.00°, 90.00° and 120.00°. The inequivalent atoms are Zn at (0.0000, 0.0000, 0.1241) and Re at (0.0000, 0.0000, 0.3723).

Zn3Re after structural relaxation, computed with GGA-PBE.

The energy comes out at -61.9 eV for the cell shown. The value obtained for the density of states at the Fermi level is 5.38 states/eV per cell. The value obtained for the energy relative to the elements is 19.33 kJ per mole of atoms. The calculated volume comes out at 228 Å³ per cell.

The structure belongs to space group P6_3/mmc (No. 194); the cell edges are 5.4214, 5.4214 and 8.9383 Å and the angles 90.00°, 90.00° and 120.00°. The inequivalent atoms are Zn at (0.0000, 0.5000, 0.0000), Zn at (0.1644, 0.3288, 0.2500), Re at (0.0000, 0.0000, 0.0000) and Re at (0.3333, 0.6667, 0.7500).

Zn2Re after structural relaxation, computed with GGA-PBE.

The energy comes out at -58.1 eV for the cell shown. The value obtained for the density of states at the Fermi level is 6.12 states/eV per cell. The value obtained for the energy relative to the elements is 15.24 kJ per mole of atoms. The calculated volume comes out at 176 Å³ per cell.

The structure belongs to space group Cmcm (No. 63); the cell edges are 2.7920, 14.5131 and 4.3476 Å and the angles 90.00°, 90.00° and 90.00°. The inequivalent atoms are Zn at (0.0000, 0.0594, 0.2500), Zn at (0.0000, 0.3909, 0.2500) and Re at (0.0000, 0.2787, 0.7500).